The following is a PBE+U calculation of a relaxed structure of Nd2MnAlO6, from the Alexandria database.

Lattice parameters (Å, degrees): 3.8483 3.8483 7.6843 90.00 90.00 90.00
Closest atoms and distances in Å follow each position.
Atoms (fractional coordinates):
1 Nd 0.0000 0.0000 0.2462  12 O 2.70-2.74
2 Nd 0.0000 0.0000 0.7538  12 O 2.70-2.74
3 Mn 0.5000 0.5000 0.5000  6 O 1.92-1.99
4 Al 0.5000 0.5000 0.0000  6 O 1.85-1.92
5 O 0.0000 0.5000 0.0000  2 Al 1.92
6 O 0.0000 0.5000 0.5000  2 Mn 1.92
7 O 0.5000 0.0000 0.0000  2 Al 1.92
8 O 0.5000 0.0000 0.5000  2 Mn 1.92
9 O 0.5000 0.5000 0.2406  1 Al 1.85, 1 Mn 1.99
10 O 0.5000 0.5000 0.7594  1 Al 1.85, 1 Mn 1.99

Results
Total energy ... -78.43 eV/cell
Calculated density ... 6805 kg/m3